Below is crystalline Sr2LiSiPd6 at its relaxed geometry, with properties calculated at the PBE level.

Computed properties:
**Crystal system**: triclinic
**Electronic total energy**: -47.0 eV for the cell shown
**Size of the total moment**: 0.00 μB/atom

Lattice parameters (Å, degrees): 6.514 6.556 6.561 60.48 60.44 60.43
Space group P-1 (No. 2)
Unique sites:
Sr 0.220 0.340 0.220 [2 per cell]
Li 0.000 0.000 0.000 [1 per cell]
Si 0.500 0.500 0.500 [1 per cell]
Pd 0.249 0.824 0.249 [2 per cell]
Pd 0.249 0.826 0.675 [2 per cell]
Pd 0.324 0.175 0.752 [2 per cell]